Record 1
LiNb2AlN, relaxed, DFT GGA-PBE; M_tot = 0.00 μB/f.u.; symmetry = P4/mmm, No. 123; V = 14.3 Å³/atom; raw formation energy = -0.515 eV/atom; E = -7.339 eV/atom
1.0
4.251 0.000 0.000
0.000 4.251 0.000
0.000 0.000 3.950
Li Nb Al N
1 2 1 1
Cartesian
0.000 0.000 0.000
0.000 2.126 1.975
2.126 0.000 1.975
2.126 2.126 0.000
0.000 0.000 1.975

---

Record 2
La3Pr3Tm4, relaxed, DFT GGA-PBE; M_tot = 0.48 μB/f.u.; symmetry = Amm2, No. 38; V = 35.0 Å³/atom; E = -4.617 eV/atom; formation energy = 0.0840 eV/atom
1.0
3.650 0.000 0.000
0.000 6.920 6.924
0.000 -6.920 6.924
La Pr Tm
3 3 4
Cartesian
0.000 0.000 0.000
1.825 -3.448 7.963
1.825 3.448 7.963
0.000 -2.421 4.498
0.000 2.421 4.498
0.000 0.000 8.992
1.825 0.000 2.837
1.825 0.000 6.165
1.825 -1.670 11.404
1.825 1.670 11.404

---

Record 3
AcPdI4, relaxed, DFT GGA-PBE; M_tot = 0.88 μB/f.u.; symmetry = I-4, No. 82; V = 37.5 Å³/atom; raw formation energy = -0.935 eV/atom; E = -3.519 eV/atom
1.0
-3.742 3.742 4.016
3.742 -3.742 4.016
3.742 3.742 -4.016
Ac Pd I
1 1 4
Cartesian
0.000 0.000 0.000
3.742 0.000 2.008
1.560 -1.525 2.659
2.217 2.182 1.357
2.182 5.267 -1.357
1.525 1.560 5.373

---

Record 4
V4Mo2W3, relaxed, DFT GGA-PBE; M_tot = 0.00 μB/f.u.; symmetry = C2/c, No. 15; energy above the lowest structure with this stoichiometry = 242 meV/atom; V = 15.3 Å³/atom; E = -10.628 eV/atom; formation energy = 0.1489 eV/atom
1.0
5.819 -4.903 0.000
5.819 4.903 0.000
-0.011 0.000 4.818
V Mo W
8 4 6
Cartesian
3.921 1.713 2.396
5.040 2.566 4.815
6.581 2.566 2.412
7.712 1.713 0.012
3.915 -1.713 4.805
5.046 -2.566 2.406
6.587 -2.566 0.003
7.706 -1.713 2.421
3.135 0.926 4.806
3.141 -0.926 2.397
8.486 0.926 2.421
8.492 -0.926 0.012
1.119 0.712 2.406
1.114 -0.712 4.815
5.816 0.000 1.204
5.811 0.000 3.613
10.514 0.712 0.003
10.508 -0.712 2.412